Density functional theory data (PBE) for an optimized crystal structure of HgP3.

Lattice parameters (Å, degrees): 4.9797 4.9797 6.9151 66.94 66.94 37.10
With the nearest neighbours (Å) after each atom.
Fractional positions:
Hg: 0.0000 0.0000 0.0000  2 Hg 3.17
P: 0.5000 0.5000 0.5000  4 P 2.29
P: 0.8109 0.8109 0.5665  4 P 2.29-2.36
P: 0.1891 0.1891 0.4335  4 P 2.29-2.36

Distance to the lowest polymorph of the same formula ... 0.2853 eV per atom
Total energy ... -0.2748 Ry per atom
E_form ... 0.3945 eV per atom

Density functional theory data (PBE) for an optimized crystal structure of HgP3.

Lattice parameters (Å, degrees): 5.2269 5.2269 5.2269 90.00 90.00 90.00
With the nearest neighbours (Å) after each atom.
Fractional positions:
Hg: 0.0000 0.0000 0.0000  12 P 2.92
Hg: 0.5000 0.5000 0.5000  12 P 2.92
P: 0.7500 0.5000 0.0000  2 P 2.61, 4 Hg 2.92
P: 0.2500 0.5000 0.0000  2 P 2.61, 4 Hg 2.92
P: 0.0000 0.7500 0.5000  2 P 2.61, 4 Hg 2.92
P: 0.0000 0.2500 0.5000  2 P 2.61, 4 Hg 2.92
P: 0.5000 0.0000 0.2500  2 P 2.61, 4 Hg 2.92
P: 0.5000 0.0000 0.7500  2 P 2.61, 4 Hg 2.92

Distance to the lowest polymorph of the same formula ... 0.8830 eV per atom
Total energy ... -0.2308 Ry per atom
E_form ... 0.9922 eV per atom

Density functional theory data (PBE) for an optimized crystal structure of HgP5.

Lattice parameters (Å, degrees): 7.0135 7.0135 4.9507 90.00 90.00 153.14
With the nearest neighbours (Å) after each atom.
Fractional positions:
Hg: 0.0503 0.9497 0.0000  2 P 2.56
P: 0.3566 0.6434 0.0000  4 P 2.25-2.48
P: 0.7431 0.2569 0.0000  4 P 2.25-2.48
P: 0.3555 0.6445 0.5000  4 P 2.37-2.48
P: 0.7294 0.2706 0.5000  6 P 2.37-2.48
P: 0.0985 0.9015 0.5000  2 P 2.42, 2 Hg 2.56

Distance to the lowest polymorph of the same formula ... 0.0000 eV per atom
Total energy ... -0.3167 Ry per atom
E_form ... 0.2492 eV per atom

Density functional theory data (PBE) for an optimized crystal structure of HgP3.

Lattice parameters (Å, degrees): 4.4037 3.5781 5.3847 72.61 90.00 90.00
With the nearest neighbours (Å) after each atom.
Fractional positions:
Hg: 0.0000 0.0000 0.0000  2 P 2.75
P: 0.5000 0.6941 0.6363  4 P 2.24-2.48
P: 0.0000 0.5000 0.5000  4 P 2.48, 2 Hg 2.75
P: 0.5000 0.3059 0.3637  4 P 2.24-2.48

Distance to the lowest polymorph of the same formula ... 0.2211 eV per atom
Total energy ... -0.2795 Ry per atom
E_form ... 0.3304 eV per atom

Density functional theory data (PBE) for an optimized crystal structure of HgP4.

Lattice parameters (Å, degrees): 5.2135 5.2135 5.2135 109.47 109.47 109.47
With the nearest neighbours (Å) after each atom.
Fractional positions:
Hg: 0.0000 0.0000 0.0000  8 P 2.61
P: 0.5000 0.0000 0.0000  2 Hg 2.61
P: 0.5000 0.5000 0.5000  2 Hg 2.61
P: 0.0000 0.5000 0.0000  2 Hg 2.61
P: 0.0000 0.0000 0.5000  2 Hg 2.61

Total energy ... -0.2367 Ry per atom
E_form ... 1.1679 eV per atom

Density functional theory data (PBE) for an optimized crystal structure of HgP3.

Lattice parameters (Å, degrees): 4.1566 4.1566 4.1566 90.00 90.00 90.00
With the nearest neighbours (Å) after each atom.
Fractional positions:
Hg: 0.0000 0.0000 0.0000  12 P 2.94
P: 0.0000 0.5000 0.5000  8 P 2.94, 4 Hg 2.94
P: 0.5000 0.0000 0.5000  8 P 2.94, 4 Hg 2.94
P: 0.5000 0.5000 0.0000  8 P 2.94, 4 Hg 2.94

Distance to the lowest polymorph of the same formula ... 0.8381 eV per atom
Total energy ... -0.2341 Ry per atom
E_form ... 0.9474 eV per atom

Density functional theory data (PBE) for an optimized crystal structure of HgP3.

Lattice parameters (Å, degrees): 4.2900 5.3597 7.5048 90.00 90.00 90.00
With the nearest neighbours (Å) after each atom.
Fractional positions:
Hg: 0.0000 0.5753 0.0000  4 P 2.58-2.61
Hg: 0.5000 0.4247 0.5000  4 P 2.58-2.61
P: 0.5000 0.3075 0.0000  2 P 2.21
P: 0.0000 0.6925 0.5000  2 P 2.21
P: 0.0000 0.9131 0.2505  3 P 2.21-2.34
P: 0.0000 0.9131 0.7495  3 P 2.21-2.34
P: 0.5000 0.0869 0.7505  3 P 2.21-2.34
P: 0.5000 0.0869 0.2495  3 P 2.21-2.34

Distance to the lowest polymorph of the same formula ... 0.0000 eV per atom
Total energy ... -0.2957 Ry per atom
E_form ... 0.1093 eV per atom

Density functional theory data (PBE) for an optimized crystal structure of PaHgP2.

Lattice parameters (Å, degrees): 4.1746 4.1746 8.0787 75.03 75.03 60.00
With the nearest neighbours (Å) after each atom.
Fractional positions:
P: 0.1073 0.1073 0.6782  1 Hg 2.48, 3 Pa 2.77
P: 0.8927 0.8927 0.3218  1 Hg 2.48, 3 Pa 2.77
Pa: 0.5000 0.5000 0.5000  6 P 2.77
Hg: 0.0000 0.0000 0.0000  2 P 2.48

Total energy ... -0.4073 Ry per atom
E_form ... -0.3876 eV per atom